Entry 1:
This record from Alexandria describes crystalline KMnC3 at its relaxed geometry. The functional is PBE.

Cell: 3.8789 3.8789 3.8789 Å, 90.00 90.00 90.00°
Fractional coordinates of all 5 atoms:
K  0.0000  0.0000  0.0000
Mn  0.5000  0.5000  0.5000
C  0.0000  0.5000  0.5000
C  0.5000  0.0000  0.5000
C  0.5000  0.5000  0.0000

Its space-group type is No. 221.

=====

Entry 2:
This record from Alexandria describes crystalline Li2ZrRh2 at its relaxed geometry. The functional is PBE.

Cell: 6.9864 6.9864 3.0743 Å, 90.00 90.00 90.00°
Fractional coordinates of all 10 atoms:
Li  0.1394  0.3606  0.0000
Li  0.3606  0.8606  0.0000
Li  0.6394  0.1394  0.0000
Li  0.8606  0.6394  0.0000
Zr  0.0000  0.0000  0.5000
Zr  0.5000  0.5000  0.5000
Rh  0.1549  0.6549  0.5000
Rh  0.3451  0.1549  0.5000
Rh  0.6549  0.8451  0.5000
Rh  0.8451  0.3451  0.5000

Its space-group type is No. 127.

=====

Number 1: energy of formation 157.5 kJ/mol of atoms. Number 2: energy of formation -23.0 kJ/mol of atoms.